VASP calculation (GGA-PBE) on a geometry-optimized GaSiTc2 structure.

E_form (uncorrected): -265 meV/atom
M_tot: 0.000 μB per formula unit
excess energy over the best structure of this formula in the dataset: 0.0 kJ/mol of formula units
E: -7.5605 eV/atom
space-group type: Pmmn, No. 59

```
8
Lattice="2.958 0.000 0.000 0.000 5.134 0.001 0.000 -0.001 7.693" Properties=species:S:1:pos:R:3 pbc="T T T"
Tc 0.740 1.398 0.292
Tc 2.219 3.736 4.139
Tc 0.740 1.397 3.555
Tc 2.219 3.735 7.401
Si 2.219 2.556 1.924
Si 0.740 2.577 5.770
Ga 2.219 5.053 1.924
Ga 0.740 0.080 5.770
```

VASP calculation (GGA-PBE) on a geometry-optimized GaSi2Tc2 structure.

E_form (uncorrected): -309 meV/atom
M_tot: 0.000 μB per formula unit
excess energy over the best structure of this formula in the dataset: 9.3 kJ/mol of formula units
E: -7.2297 eV/atom
space-group type: P4/mbm, No. 127

```
10
Lattice="-6.318 -0.651 2.478 -2.282 -1.564 -6.231 0.531 -3.017 0.562" Properties=species:S:1:pos:R:3 pbc="T T T"
Si -5.989 -2.631 0.169
Si -5.741 -3.270 -3.491
Si -2.328 -1.962 0.301
Si -2.080 -2.600 -3.360
Ga -4.300 -1.107 -1.877
Ga 0.000 0.000 0.000
Tc -1.762 -0.641 -1.775
Tc -4.483 -0.666 0.661
Tc -6.838 -1.573 -1.978
Tc -4.117 -1.548 -4.414
```

VASP calculation (GGA-PBE) on a geometry-optimized GaSiTc2 structure.

E_form (uncorrected): -248 meV/atom
M_tot: 0.000 μB per formula unit
excess energy over the best structure of this formula in the dataset: 6.7 kJ/mol of formula units
E: -7.5432 eV/atom
space-group type: P4/mmm, No. 123

```
4
Lattice="2.990 0.000 0.000 0.000 2.990 0.000 0.000 0.000 6.191" Properties=species:S:1:pos:R:3 pbc="T T T"
Tc 0.000 0.000 4.776
Tc 0.000 0.000 1.416
Si 1.495 1.495 0.000
Ga 1.495 1.495 3.096
```

VASP calculation (GGA-PBE) on a geometry-optimized GaSiTc2 structure.

E_form (uncorrected): -208 meV/atom
M_tot: 0.000 μB per formula unit
excess energy over the best structure of this formula in the dataset: 22.0 kJ/mol of formula units
E: -7.5034 eV/atom
space-group type: Fm-3m, No. 225

```
4
Lattice="2.934 -3.095 -0.112 -0.987 -3.817 -1.630 1.670 -1.223 -3.730" Properties=species:S:1:pos:R:3 pbc="T T T"
Tc 2.713 -6.101 -4.104
Tc 0.904 -2.034 -1.368
Ga 1.808 -4.067 -2.736
Si 0.000 0.000 0.000
```

VASP calculation (GGA-PBE) on a geometry-optimized GaSiTc structure.

E_form (uncorrected): -369 meV/atom
M_tot: 0.000 μB per formula unit
excess energy over the best structure of this formula in the dataset: 17.1 kJ/mol of formula units
E: -6.6412 eV/atom
space-group type: P4/nmm, No. 129

```
6
Lattice="-0.251 2.460 2.342 -3.018 -1.238 0.977 3.511 -4.517 5.120" Properties=species:S:1:pos:R:3 pbc="T T T"
Tc 1.876 -3.160 4.758
Tc -1.634 -0.136 3.682
Si -0.943 1.535 2.001
Si 1.185 -4.831 6.439
Ga -0.347 -1.793 5.560
Ga 0.589 -1.503 2.879
```

VASP calculation (GGA-PBE) on a geometry-optimized GaSiTc2 structure.

E_form (uncorrected): 308 meV/atom
M_tot: 0.000 μB per formula unit
excess energy over the best structure of this formula in the dataset: 221.3 kJ/mol of formula units
E: -6.9872 eV/atom
space-group type: I-42d, No. 122

```
8
Lattice="7.049 0.000 0.000 0.000 7.049 0.000 3.524 3.524 2.557" Properties=species:S:1:pos:R:3 pbc="T T T"
Tc 5.287 5.697 1.918
Tc 8.811 8.401 1.918
Tc 2.173 5.287 0.639
Tc 4.876 1.762 0.639
Si 3.524 7.049 1.278
Si 3.524 3.524 0.000
Ga 0.000 0.000 0.000
Ga 7.049 3.524 1.278
```

VASP calculation (GGA-PBE) on a geometry-optimized GaSi2Tc2 structure.

E_form (uncorrected): -151 meV/atom
M_tot: 0.000 μB per formula unit
excess energy over the best structure of this formula in the dataset: 85.6 kJ/mol of formula units
E: -7.0715 eV/atom
space-group type: P4/mbm, No. 127

```
10
Lattice="6.889 0.000 0.000 0.000 6.889 0.000 0.000 0.000 2.987" Properties=species:S:1:pos:R:3 pbc="T T T"
Si 4.365 0.920 0.000
Si 0.920 2.524 0.000
Si 5.969 4.365 0.000
Si 2.524 5.969 0.000
Tc 1.101 4.546 1.493
Tc 4.546 5.788 1.493
Tc 5.788 2.343 1.493
Tc 2.343 1.101 1.493
Ga 3.445 3.445 0.000
Ga 0.000 0.000 0.000
```

VASP calculation (GGA-PBE) on a geometry-optimized GaSiTc structure.

E_form (uncorrected): -428 meV/atom
M_tot: 0.000 μB per formula unit
excess energy over the best structure of this formula in the dataset: 0.0 kJ/mol of formula units
E: -6.7001 eV/atom
space-group type: Cmcm, No. 63

```
6
Lattice="4.524 -0.086 0.360 0.139 4.469 -0.684 1.958 0.574 4.148" Properties=species:S:1:pos:R:3 pbc="T T T"
Si 1.139 3.525 0.828
Si 5.482 1.432 2.996
Ga 3.325 1.263 1.448
Ga 3.297 3.694 2.376
Tc 5.460 3.853 3.853
Tc 1.162 1.104 -0.029
```

VASP calculation (GGA-PBE) on a geometry-optimized GaSiTc2 structure.

E_form (uncorrected): -138 meV/atom
M_tot: 0.000 μB per formula unit
excess energy over the best structure of this formula in the dataset: 49.0 kJ/mol of formula units
E: -7.4335 eV/atom
space-group type: R-3m, No. 166

```
4
Lattice="2.873 0.000 0.000 1.436 2.488 0.000 1.436 0.829 8.027" Properties=species:S:1:pos:R:3 pbc="T T T"
Tc 4.309 2.488 6.123
Tc 1.436 0.829 1.904
Ga 2.873 1.659 4.013
Si 0.000 0.000 0.000
```

VASP calculation (GGA-PBE) on a geometry-optimized GaSiTc structure.

E_form (uncorrected): -36 meV/atom
M_tot: 0.000 μB per formula unit
excess energy over the best structure of this formula in the dataset: 113.5 kJ/mol of formula units
E: -6.3079 eV/atom
space-group type: P-6m2, No. 187

```
3
Lattice="3.222 0.000 0.000 0.000 4.060 0.000 0.000 -2.030 3.516" Properties=species:S:1:pos:R:3 pbc="T T T"
Ga 2.147 2.030 1.172
Tc 0.536 0.000 0.000
Si 0.539 0.000 2.344
```

VASP calculation (GGA-PBE) on a geometry-optimized ThGaSiTc2 structure.

E_form (uncorrected): -443 meV/atom
M_tot: 0.000 μB per formula unit
E: -7.7629 eV/atom
space-group type: Cmcm, No. 63

```
10
Lattice="-0.118 5.166 -2.751 -4.071 1.916 3.774 5.933 0.875 1.387" Properties=species:S:1:pos:R:3 pbc="T T T"
Si -0.937 2.780 2.147
Si 2.681 5.177 0.263
Tc -1.229 3.134 -0.291
Tc -2.961 3.949 1.314
Tc -2.901 1.366 2.689
Tc -1.170 0.551 1.084
Ga 0.860 4.321 -1.266
Ga 0.884 3.636 3.676
Th -0.078 5.795 1.543
Th 1.822 2.162 0.867
```

VASP calculation (GGA-PBE) on a geometry-optimized ThGa2SiTc2 structure.

E_form (uncorrected): -308 meV/atom
M_tot: 0.000 μB per formula unit
E: -6.9126 eV/atom
space-group type: P4/mmm, No. 123

```
6
Lattice="-3.116 2.895 1.457 -3.209 -2.473 -1.950 -0.572 -3.012 4.761" Properties=species:S:1:pos:R:3 pbc="T T T"
Ga -3.314 -0.587 1.016
Ga -3.583 -2.002 3.252
Tc -1.558 1.448 0.729
Tc -1.605 -1.236 -0.975
Si 0.000 0.000 0.000
Th -0.286 -1.506 2.381
```

E_form (uncorrected) of number 10 (GaSiTc)? -36 meV/atom